# 1
KAl2CoF | PBE+U | optimized geometry

```
KAl2CoF
1.0
4.443 0.000 0.000
0.000 4.443 0.000
0.000 0.000 6.245
K Al Co F
1 2 1 1
Cartesian
0.000 0.000 0.000
0.000 2.221 3.122
2.221 0.000 3.122
2.221 2.221 3.122
2.221 2.221 0.000
```

Space-group type   P4/mmm (123)
VASP energy   -17.029 eV per cell

---

# 2
LiAlCoF6 | PBE+U | optimized geometry

```
LiAlCoF6
1.0
5.097 0.000 0.000
-2.548 4.414 0.000
0.000 0.000 8.918
Li Al Co F
2 2 2 12
Cartesian
0.000 0.000 0.000
0.000 0.000 4.459
0.000 2.943 2.229
2.548 1.471 6.688
0.000 2.943 6.688
2.548 1.471 2.229
-0.765 1.619 1.212
-1.529 2.942 3.247
0.765 1.619 3.247
-0.763 4.267 1.212
1.785 0.147 5.671
1.020 1.472 7.706
1.529 2.942 1.212
0.763 4.267 3.247
3.312 0.147 7.706
1.783 2.795 5.671
4.077 1.472 5.671
3.314 2.795 7.706
```

Space-group type   P-31c (163)
VASP energy   -96.645 eV per cell

---

# 3
AlCoNF2 | PBE+U | optimized geometry

```
AlCoNF2
1.0
3.578 0.000 0.000
0.000 3.578 0.000
0.000 0.000 4.073
Al Co N F
1 1 1 2
Cartesian
0.000 0.000 0.000
1.789 1.789 2.037
0.000 0.000 2.037
0.000 1.789 0.000
1.789 0.000 0.000
```

Space-group type   P4/mmm (123)
VASP energy   -27.382 eV per cell
Polymorph energy (0 for the lowest one)   0.000 eV/f.u.

---

# 4
AlCoNF2 | PBE+U | optimized geometry

```
AlCoNF2
1.0
3.963 0.000 0.000
0.000 3.963 0.000
0.000 0.000 3.736
Al Co N F
1 1 1 2
Cartesian
0.000 0.000 0.000
1.982 1.982 1.868
1.982 1.982 0.000
0.000 1.982 1.868
1.982 0.000 1.868
```

Space-group type   P4/mmm (123)
VASP energy   -23.436 eV per cell
Polymorph energy (0 for the lowest one)   3.946 eV/f.u.

---

# 5
NaAlCo2F8 | PBE+U | optimized geometry

```
NaAlCo2F8
1.0
4.730 0.000 0.000
-0.120 4.739 0.000
-0.021 -0.014 6.394
Na Al Co F
1 1 2 8
Cartesian
0.000 0.000 0.000
-0.010 -0.007 3.197
2.297 2.365 1.605
2.292 2.361 4.789
0.876 0.892 4.502
0.886 0.903 1.904
1.224 3.400 3.196
1.391 3.213 6.392
3.198 1.513 0.001
3.365 1.326 3.197
3.704 3.822 4.490
3.713 3.833 1.892
```

Space-group type   P-1 (2)
VASP energy   -62.586 eV per cell

---

# 6
AlCoO2F | PBE+U | optimized geometry

```
AlCoO2F
1.0
3.745 0.000 0.000
0.000 3.745 0.000
0.000 0.000 3.528
Al Co O F
1 1 2 1
Cartesian
0.000 0.000 0.000
1.872 1.872 1.764
0.000 1.872 0.000
1.872 0.000 0.000
0.000 0.000 1.764
```

Space-group type   P4/mmm (123)
VASP energy   -30.173 eV per cell

---

# 7
AlCoO2F | PBE+U | optimized geometry

```
AlCoO2F
1.0
3.810 0.000 0.000
0.000 3.810 0.000
0.000 0.000 3.807
Al Co O F
1 1 2 1
Cartesian
0.000 0.000 0.000
1.905 1.905 1.903
0.000 1.905 1.903
1.905 0.000 1.903
1.905 1.905 0.000
```

Space-group type   P4/mmm (123)
VASP energy   -25.259 eV per cell

---

# 8
AlCoPbF6 | PBE+U | optimized geometry

```
AlCoPbF6
1.0
5.452 0.000 0.000
-2.726 4.721 0.000
0.000 0.000 10.205
Al Co Pb F
2 2 2 12
Cartesian
0.000 3.147 2.551
2.726 1.574 7.653
0.000 3.147 7.653
2.726 1.574 2.551
0.000 0.000 0.000
0.000 0.000 5.102
-0.776 1.851 1.504
-1.511 3.123 3.598
0.776 1.851 3.598
-0.734 4.468 1.504
1.991 0.253 6.607
1.215 1.598 8.700
1.511 3.123 1.504
0.734 4.468 3.598
3.460 0.253 8.700
1.950 2.870 6.607
4.236 1.598 6.607
3.502 2.870 8.700
```

Space-group type   P-31c (163)
VASP energy   -93.956 eV per cell

---

# 9
AlCoPtF2 | PBE+U | optimized geometry

```
AlCoPtF2
1.0
3.597 0.000 0.000
0.000 3.597 0.000
0.000 0.000 5.584
Al Co Pt F
1 1 1 2
Cartesian
0.000 0.000 0.000
1.799 1.799 2.792
0.000 0.000 2.792
0.000 1.799 0.000
1.799 0.000 0.000
```

Space-group type   P4/mmm (123)
VASP energy   -25.526 eV per cell

---

# 10
AlCo2SbF | PBE+U | optimized geometry

```
AlCo2SbF
1.0
4.137 0.000 0.000
0.000 4.137 0.000
0.000 0.000 5.079
Al Co Sb F
1 2 1 1
Cartesian
0.000 0.000 0.000
0.000 2.069 2.539
2.069 0.000 2.539
2.069 2.069 0.000
2.069 2.069 2.539
```

Space-group type   P4/mmm (123)
VASP energy   -19.134 eV per cell

---

# 11
Al2CoSbF | PBE+U | optimized geometry

```
Al2CoSbF
1.0
4.124 0.000 0.000
0.000 4.124 0.000
0.000 0.000 4.956
Al Co Sb F
2 1 1 1
Cartesian
0.000 2.062 0.000
2.062 0.000 0.000
0.000 0.000 2.478
2.062 2.062 2.478
2.062 2.062 0.000
```

Space-group type   P4/mmm (123)
VASP energy   -16.784 eV per cell

---

# 12
AlCoSe2F | PBE+U | optimized geometry

```
AlCoSe2F
1.0
5.293 0.000 0.000
0.000 5.293 0.000
0.000 0.000 3.354
Al Co Se F
1 1 2 1
Cartesian
0.000 0.000 0.000
2.646 2.646 0.000
0.000 2.646 1.677
2.646 0.000 1.677
0.000 0.000 1.677
```

Space-group type   P4/mmm (123)
VASP energy   -16.338 eV per cell